10
Lattice="3.201 -5.544 0.000 3.201 5.544 0.000 -0.005 0.000 5.651" Properties=species:S:1:pos:R:3 comment="Sc3BiC | Alexandria | PBE | optimized geometry" formation_energy_ev_per_fu=-2.97 magmom_total_mub_per_fu=1.1 sg="No. 15" crystal_system=monoclinic vol_a3_per_cell=200.5 pbc="T T T"
Sc 1.505 0.871 4.240
Sc 3.197 3.801 4.238
Sc 1.508 -0.871 1.415
Sc 4.888 0.871 4.236
Sc 3.199 -3.801 1.413
Sc 4.891 -0.871 1.411
Bi 3.199 1.849 1.413
Bi 3.197 -1.849 4.238
C 0.000 0.000 0.000
C -0.003 0.000 2.825